(1)
VPt8Rh2, optimized geometry, DFT PBE; DFT formation energy = -0.22 eV per atom; DOS at the Fermi energy = 14.27 states/eV/cell; energy above the lowest structure with this stoichiometry = 0.0 meV per atom
1.0
-1.776 -3.217 1.374
1.009 -2.879 -5.434
6.545 0.185 3.294
V Pt Rh
1 8 2
direct
0.500 0.000 0.000
0.591 0.441 0.182
0.320 0.089 0.639
0.133 0.176 0.266
0.045 0.732 0.090
0.867 0.824 0.734
0.680 0.911 0.361
0.409 0.559 0.818
0.955 0.268 0.910
0.224 0.628 0.448
0.776 0.372 0.552

---

(2)
TbCeMg2Rh4, optimized geometry, DFT PBE; DFT formation energy = -0.70 eV per atom; DOS at the Fermi energy = 3.58 states/eV/cell
1.0
4.684 0.000 0.000
2.342 4.056 0.000
2.342 1.352 7.602
Tb Ce Mg Rh
1 1 2 4
direct
0.000 0.000 0.000
0.500 0.500 0.500
0.747 0.747 0.758
0.253 0.253 0.242
0.378 0.378 0.865
0.874 0.874 0.379
0.126 0.126 0.621
0.622 0.622 0.135

---

(3)
Pm2CoSn8, optimized geometry, DFT PBE; DFT formation energy = -0.31 eV per atom; DOS at the Fermi energy = 5.77 states/eV/cell
1.0
-1.975 -2.582 2.964
5.849 -0.578 3.394
-4.687 9.364 1.769
Pm Co Sn
2 1 8
direct
0.819 0.241 0.637
0.181 0.759 0.363
0.500 0.000 0.000
0.404 0.611 0.808
0.628 0.998 0.256
0.790 0.684 0.581
0.984 0.222 0.967
0.210 0.316 0.419
0.372 0.002 0.744
0.596 0.389 0.192
0.016 0.778 0.033

---

Q: Which value of DOS at the Fermi energy does entry 1 give?
A: 14.27 states/eV/cell

---

Q: Which of these has the highest DFT formation energy?
A: VPt8Rh2

---

Q: Look up the DFT formation energy of the second one.
A: -0.70 eV per atom